[1]
Compound: Y2Mg2Ni15
Source: Alexandria
Functional: PBE-GGA
Structure: relaxed

abc: 8.3813 8.3813 12.3198
angles: 90.00 90.00 120.00
Space group R-3m (No. 166, hexagonal axes)
Symmetry-distinct sites (fractional):
Y: 0.0000 0.0000 0.1489
Mg: 0.0000 0.0000 0.3969
Ni: 0.0000 0.3023 0.5000
Ni: 0.0000 0.5000 0.0000
Ni: 0.0029 0.5015 0.6559


[2]
Compound: Y2MgZn12Ni3
Source: Alexandria
Functional: PBE-GGA
Structure: relaxed

abc: 8.2658 8.2658 19.3783
angles: 90.00 90.00 120.00
Space group R-3m (No. 166, hexagonal axes)
Symmetry-distinct sites (fractional):
Y: 0.0000 0.0000 0.0883
Mg: 0.0000 0.0000 0.5000
Zn: 0.0254 0.5127 0.3339
Zn: 0.1002 0.5501 0.8832
Ni: 0.0000 0.5000 0.0000


[3]
Compound: MgZn3Ni4
Source: Alexandria
Functional: PBE-GGA
Structure: relaxed

abc: 3.919 3.919 6.517
angles: 90.00 90.00 90.00
Space group P4/mmm (No. 123)
Symmetry-distinct sites (fractional):
Mg: 0.000 0.000 0.000
Zn: 0.000 0.000 0.500
Zn: 0.500 0.500 0.000
Zn: 0.500 0.500 0.500
Ni: 0.000 0.500 0.259


[4]
Compound: MgZn2Ni2
Source: Alexandria
Functional: PBE-GGA
Structure: relaxed

abc: 3.685 3.685 11.040
angles: 90.00 90.00 90.00
Space group I4/mmm (No. 139)
Symmetry-distinct sites (fractional):
Mg: 0.000 0.000 0.000
Zn: 0.000 0.500 0.250
Ni: 0.000 0.000 0.397

excess energy over the best structure of this formula in the dataset	0.1434	eV per atom


[5]
Compound: MgZn4Ni3
Source: Alexandria
Functional: PBE-GGA
Structure: relaxed

abc: 3.883 3.883 6.994
angles: 90.00 90.00 90.00
Space group P4/mmm (No. 123)
Symmetry-distinct sites (fractional):
Mg: 0.000 0.000 0.000
Zn: 0.000 0.500 0.271
Ni: 0.000 0.000 0.500
Ni: 0.500 0.500 0.000
Ni: 0.500 0.500 0.500


[6]
Compound: MgZn6Ni2
Source: Alexandria
Functional: PBE-GGA
Structure: relaxed

abc: 2.775 7.245 12.841
angles: 90.00 90.00 90.00
Space group Immm (No. 71)
Symmetry-distinct sites (fractional):
Mg: 0.000 0.000 0.000
Zn: 0.000 0.165 0.500
Zn: 0.000 0.319 0.325
Ni: 0.000 0.500 0.151


[7]
Compound: MgZn12Ni6
Source: Alexandria
Functional: PBE-GGA
Structure: relaxed

abc: 11.1614 11.1614 7.8449
angles: 90.00 90.00 120.00
Space group R-3m (No. 166, hexagonal axes)
Symmetry-distinct sites (fractional):
Mg: 0.0000 0.0000 0.0000
Zn: 0.0000 0.3842 0.5000
Zn: 0.0823 0.1645 0.2918
Ni: 0.0647 0.5323 0.2374


[8]
Compound: Mg2Zn2Ni15
Source: Alexandria
Functional: PBE-GGA
Structure: relaxed

abc: 8.1950 8.1950 12.1336
angles: 90.00 90.00 120.00
Space group R-3m (No. 166, hexagonal axes)
Symmetry-distinct sites (fractional):
Mg: 0.0000 0.0000 0.1486
Zn: 0.0000 0.0000 0.3968
Ni: 0.0000 0.3046 0.5000
Ni: 0.0000 0.5000 0.0000
Ni: 0.0031 0.5016 0.6541


[9]
Compound: Mg2ZnNi3
Source: Alexandria
Functional: PBE-GGA
Structure: relaxed

abc: 4.9846 4.9846 7.7388
angles: 90.00 90.00 120.00
Space group P6_3/mmc (No. 194)
Symmetry-distinct sites (fractional):
Mg: 0.3333 0.6667 0.0657
Zn: 0.0000 0.0000 0.0000
Ni: 0.1725 0.3450 0.7500

excess energy over the best structure of this formula in the dataset	0.0000	eV per atom


[10]
Compound: Mg11Zn9Ni4
Source: Alexandria
Functional: PBE-GGA
Structure: relaxed

abc: 12.364 18.228 3.628
angles: 90.00 90.00 90.00
Space group Cmmm (No. 65)
Symmetry-distinct sites (fractional):
Mg: 0.000 0.000 0.000
Mg: 0.000 0.167 0.000
Mg: 0.000 0.368 0.000
Mg: 0.199 0.500 0.000
Mg: 0.247 0.168 0.000
Zn: 0.000 0.500 0.500
Zn: 0.111 0.264 0.500
Zn: 0.147 0.074 0.500
Ni: 0.144 0.404 0.500


[11]
Compound: Mg2ZnNi3
Source: Alexandria
Functional: PBE-GGA
Structure: relaxed

abc: 4.9737 4.9737 11.6916
angles: 90.00 90.00 120.00
Space group R-3m (No. 166, hexagonal axes)
Symmetry-distinct sites (fractional):
Mg: 0.0000 0.0000 0.1233
Zn: 0.0000 0.0000 0.5000
Ni: 0.0000 0.5000 0.0000

excess energy over the best structure of this formula in the dataset	0.0061	eV per atom


[12]
Compound: MgZn8Ni4
Source: Alexandria
Functional: PBE-GGA
Structure: relaxed

abc: 8.451 8.451 5.092
angles: 90.00 90.00 90.00
Space group I4/mmm (No. 139)
Symmetry-distinct sites (fractional):
Mg: 0.000 0.000 0.000
Zn: 0.000 0.222 0.500
Zn: 0.000 0.331 0.000
Ni: 0.250 0.250 0.250


no.,formation energy from the elements (eV/atom),N(E_F) (states/eV per cell)
1,-0.233,68.8
2,0.195,24.4
3,-0.229,2.1
4,-0.054,4.8
5,-0.195,1.8
6,-0.065,6.5
7,-0.001,32.8
8,-0.047,76.2
9,-0.254,6.7
10,-0.126,19.3
11,-0.248,12.9
12,-0.215,8.8